Entry 1:
Below is a relaxed Tb6Cd23 crystal, with properties calculated at the PBE level.

abc: 9.9084 9.9084 9.9084
angles: 60.00 60.00 60.00
Last column: nearest neighbours and their distance in Å.
Sites, in units of the cell vectors:
Cd 0.8387 0.4840 0.8387  6 Cd 2.86-3.14
Cd 0.1613 0.1613 0.5160  6 Cd 2.86-3.14
Tb 0.7982 0.2018 0.2018  12 Cd 3.25-3.57
Cd 0.5160 0.1613 0.1613  6 Cd 2.86-3.14
Cd 0.1357 0.6214 0.6214  7 Cd 2.95-3.14
Cd 0.3786 0.3786 0.3786  7 Cd 2.95-3.14
Cd 0.0000 0.0000 0.5000  8 Cd 2.86-3.06
Cd 0.3786 0.8643 0.3786  7 Cd 2.95-3.14
Cd 0.6214 0.1357 0.6214  7 Cd 2.95-3.14
Cd 0.0000 0.5000 0.0000  8 Cd 2.86-3.06
Cd 0.6214 0.6214 0.1357  7 Cd 2.95-3.14
Cd 0.8387 0.8387 0.4840  6 Cd 2.86-3.14
Tb 0.2018 0.2018 0.7982  12 Cd 3.25-3.57
Tb 0.2018 0.7982 0.2018  12 Cd 3.25-3.57
Cd 0.5000 0.0000 0.5000  8 Cd 2.86-3.06
Tb 0.2018 0.7982 0.7982  12 Cd 3.25-3.57
Cd 0.4840 0.8387 0.8387  6 Cd 2.86-3.14
Cd 0.5000 0.0000 0.0000  8 Cd 2.86-3.06
Cd 0.1613 0.1613 0.1613  6 Cd 2.86-3.14
Cd 0.6214 0.6214 0.6214  7 Cd 2.95-3.14
Cd 0.5000 0.5000 0.5000  8 Cd 2.95
Cd 0.8387 0.8387 0.8387  6 Cd 2.86-3.14
Cd 0.5000 0.5000 0.0000  8 Cd 2.86-3.06
Tb 0.7982 0.2018 0.7982  12 Cd 3.25-3.57
Cd 0.1613 0.5160 0.1613  6 Cd 2.86-3.14
Tb 0.7982 0.7982 0.2018  12 Cd 3.25-3.57
Cd 0.0000 0.5000 0.5000  8 Cd 2.86-3.06
Cd 0.8643 0.3786 0.3786  7 Cd 2.95-3.14
Cd 0.3786 0.3786 0.8643  7 Cd 2.95-3.14

Properties
M_tot: 0.000 μB/cell
DFT formation energy: -5.865 eV per formula unit
ρ: 8.54 g/cm³
space-group type: Fm-3m

Entry 2:
Below is a relaxed Ca2CuAu crystal, with properties calculated at the PBE level.

abc: 7.8307 7.8307 6.5415
angles: 53.23 53.23 90.00
Last column: nearest neighbours and their distance in Å.
Sites, in units of the cell vectors:
Au 0.7500 0.2500 0.5000  4 Ca 2.94
Cu 0.2500 0.7500 0.5000  4 Ca 2.87
Ca 0.1318 0.6250 0.2500  2 Cu 2.87, 2 Au 2.94
Ca 0.3750 0.3818 0.7500  2 Cu 2.87, 2 Au 2.94
Au 0.0000 0.0000 0.0000  4 Ca 2.94
Ca 0.6182 0.1250 0.2500  2 Cu 2.87, 2 Au 2.94
Cu 0.5000 0.5000 0.0000  4 Ca 2.87
Ca 0.8750 0.8682 0.7500  2 Cu 2.87, 2 Au 2.94

Properties
M_tot: 0.000 μB/cell
DFT formation energy: -0.529 eV per formula unit
ρ: 5.30 g/cm³
space-group type: I-42d

Entry 3:
Below is a relaxed ScTaNb2Al crystal, with properties calculated at the PBE level.

abc: 4.6308 4.8347 4.6308
angles: 90.00 90.00 90.00
Last column: nearest neighbours and their distance in Å.
Sites, in units of the cell vectors:
Sc 0.0000 0.0000 0.0000  4 Nb 2.32, 2 Al 2.42
Ta 0.5000 0.5000 0.5000  4 Al 3.27, 8 Nb 3.35
Al 0.0000 0.5000 0.0000  2 Sc 2.42
Nb 0.0000 0.0000 0.5000  2 Sc 2.32
Nb 0.5000 0.0000 0.0000  2 Sc 2.32

Properties
M_tot: 0.000 μB/cell
DFT formation energy: 7.536 eV per formula unit
ρ: 7.03 g/cm³
space-group type: P4/mmm

Entry 4:
Below is a relaxed NiPtSe2 crystal, with properties calculated at the PBE level.

abc: 5.5558 5.5558 6.6899
angles: 65.47 65.47 90.00
Last column: nearest neighbours and their distance in Å.
Sites, in units of the cell vectors:
Se 0.1493 0.6250 0.2500  2 Ni 2.31, 2 Pt 2.47
Se 0.3750 0.3993 0.7500  2 Ni 2.31, 2 Pt 2.47
Se 0.8750 0.8507 0.7500  2 Ni 2.31, 2 Pt 2.47
Se 0.6007 0.1250 0.2500  2 Ni 2.31, 2 Pt 2.47
Pt 0.0000 0.0000 0.0000  4 Se 2.47
Ni 0.2500 0.7500 0.5000  4 Se 2.31
Pt 0.7500 0.2500 0.5000  4 Se 2.47
Ni 0.5000 0.5000 0.0000  4 Se 2.31

Properties
E_form (uncorrected): -103 meV per atom
M_tot: 0.000 μB/cell
ρ: 8.18 g/cm³
space-group type: I-42d

Entry 5:
Below is a relaxed HgTe2Au crystal, with properties calculated at the PBE level.

abc: 18.5033 9.1005 9.1005
angles: 89.65 119.74 60.26
Last column: nearest neighbours and their distance in Å.
Sites, in units of the cell vectors:
Hg 0.8609 0.9008 0.8528  2 Te 2.77-2.78, 1 Au 2.92
Te 0.0050 0.8356 0.7238  2 Au 2.82, 1 Te 2.87, 1 Hg 3.11
Te 0.5133 0.2028 0.6683  2 Au 2.76-2.77, 1 Te 2.87, 1 Hg 3.06
Au 0.1524 0.6248 0.6572  4 Te 2.70-2.82
Au 0.6524 0.8428 0.8752  4 Te 2.70-2.82
Hg 0.1629 0.0674 0.6751  4 Te 2.85-3.11
Te 0.4950 0.2238 0.3356  2 Au 2.82, 1 Te 2.87, 1 Hg 3.11
Au 0.9180 0.2970 0.9131  4 Te 2.76-2.85, 1 Hg 2.92
Au 0.3476 0.1572 0.1248  4 Te 2.70-2.82
Hg 0.3609 0.6472 0.5992  2 Te 2.77-2.78, 1 Au 2.92
Au 0.0820 0.7030 0.0869  4 Te 2.76-2.85, 1 Hg 2.92
Au 0.8476 0.3752 0.3428  4 Te 2.70-2.82
Te 0.9950 0.1644 0.2762  2 Au 2.82, 1 Te 2.87, 1 Hg 3.11
Te 0.4867 0.7972 0.3317  2 Au 2.76-2.77, 1 Te 2.87, 1 Hg 3.06
Hg 0.6629 0.8249 0.4326  4 Te 2.85-3.11
Te 0.8017 0.6696 0.8146  2 Au 2.76-2.78, 2 Hg 2.77-2.86
Te 0.9867 0.1683 0.7028  2 Au 2.76-2.77, 1 Te 2.87, 1 Hg 3.06
Hg 0.3371 0.1751 0.5674  4 Te 2.85-3.11
Hg 0.6391 0.3528 0.4008  2 Te 2.77-2.78, 1 Au 2.92
Te 0.7500 0.7347 0.2347  2 Au 2.70, 2 Hg 2.85
Te 0.6983 0.3146 0.1696  2 Au 2.76-2.78, 2 Hg 2.77-2.86
Hg 0.1391 0.0992 0.1472  2 Te 2.77-2.78, 1 Au 2.92
Te 0.0133 0.8317 0.2972  2 Au 2.76-2.77, 1 Te 2.87, 1 Hg 3.06
Au 0.4180 0.5869 0.2030  4 Te 2.76-2.85, 1 Hg 2.92
Te 0.2500 0.7282 0.2282  2 Hg 2.78, 2 Au 2.85
Te 0.3017 0.6854 0.8304  2 Au 2.76-2.78, 2 Hg 2.77-2.86
Te 0.2500 0.2653 0.7653  2 Au 2.70, 2 Hg 2.85
Hg 0.8371 0.9326 0.3249  4 Te 2.85-3.11
Te 0.7500 0.2718 0.7718  2 Hg 2.78, 2 Au 2.85
Te 0.5050 0.7762 0.6644  2 Au 2.82, 1 Te 2.87, 1 Hg 3.11
Te 0.1983 0.3304 0.1854  2 Au 2.76-2.78, 2 Hg 2.77-2.86
Au 0.5820 0.4131 0.7970  4 Te 2.76-2.85, 1 Hg 2.92

Properties
E_form (uncorrected): -41 meV per atom
M_tot: 0.000 μB/cell
ρ: 7.97 g/cm³
space-group type: C2/c

Entry 6:
Below is a relaxed InFe3Pb crystal, with properties calculated at the PBE level.

abc: 4.8377 4.8377 4.8377
angles: 90.00 90.00 90.00
Last column: nearest neighbours and their distance in Å.
Sites, in units of the cell vectors:
Fe 0.5000 0.0000 0.0000  2 In 2.42
Fe 0.0000 0.5000 0.0000  2 In 2.42
Pb 0.5000 0.5000 0.5000  12 Fe 3.42
Fe 0.0000 0.0000 0.5000  2 In 2.42
In 0.0000 0.0000 0.0000  6 Fe 2.42

Properties
E above lowest polymorph: 0.00 eV per formula unit
M_tot: 8.398 μB/cell
DFT formation energy: 6.486 eV per formula unit
ρ: 7.18 g/cm³
space-group type: Pm-3m

Entry 7:
Below is a relaxed Tb7Er12Mg crystal, with properties calculated at the PBE level.

abc: 8.6255 8.6255 8.6255
angles: 86.32 86.32 86.32
Last column: nearest neighbours and their distance in Å.
Sites, in units of the cell vectors:
Tb 0.5000 0.5000 0.5000  6 Er 3.23
Tb 0.6020 0.9251 0.8490  3 Tb 3.33-3.45, 7 Er 3.43-3.73
Mg 0.0000 0.0000 0.0000  6 Er 3.27
Er 0.1368 0.4986 0.6168  4 Er 3.20-3.41, 2 Tb 3.23-3.43
Er 0.5014 0.3832 0.8632  4 Er 3.20-3.41, 2 Tb 3.23-3.43
Er 0.2498 0.7379 0.8562  6 Er 3.25-3.64, 1 Mg 3.27, 2 Tb 3.50-3.53
Er 0.8632 0.5014 0.3832  4 Er 3.20-3.41, 2 Tb 3.23-3.43
Er 0.8562 0.2498 0.7379  6 Er 3.25-3.64, 1 Mg 3.27, 2 Tb 3.50-3.53
Er 0.6168 0.1368 0.4986  4 Er 3.20-3.41, 2 Tb 3.23-3.43
Er 0.3832 0.8632 0.5014  4 Er 3.20-3.41, 2 Tb 3.23-3.43
Tb 0.3980 0.0749 0.1510  3 Tb 3.33-3.45, 7 Er 3.43-3.73
Er 0.2621 0.1438 0.7502  6 Er 3.25-3.64, 1 Mg 3.27, 2 Tb 3.50-3.53
Er 0.4986 0.6168 0.1368  4 Er 3.20-3.41, 2 Tb 3.23-3.43
Tb 0.8490 0.6020 0.9251  3 Tb 3.33-3.45, 7 Er 3.43-3.73
Tb 0.9251 0.8490 0.6020  3 Tb 3.33-3.45, 7 Er 3.43-3.73
Tb 0.1510 0.3980 0.0749  3 Tb 3.33-3.45, 7 Er 3.43-3.73
Er 0.1438 0.7502 0.2621  6 Er 3.25-3.64, 1 Mg 3.27, 2 Tb 3.50-3.53
Tb 0.0749 0.1510 0.3980  3 Tb 3.33-3.45, 7 Er 3.43-3.73
Er 0.7379 0.8562 0.2498  6 Er 3.25-3.64, 1 Mg 3.27, 2 Tb 3.50-3.53
Er 0.7502 0.2621 0.1438  6 Er 3.25-3.64, 1 Mg 3.27, 2 Tb 3.50-3.53

Properties
E above lowest polymorph: 0.00 eV per formula unit
M_tot: 0.010 μB/cell
DFT formation energy: 4.318 eV per formula unit
ρ: 8.18 g/cm³
space-group type: R-3

Entry 8:
Below is a relaxed Zn3Cu4Ir crystal, with properties calculated at the PBE level.

abc: 3.5700 3.8113 8.0855
angles: 76.20 102.75 90.00
Last column: nearest neighbours and their distance in Å.
Sites, in units of the cell vectors:
Ir 0.5000 0.0000 0.0000  8 Zn 2.61-2.67, 4 Cu 2.74
Zn 0.1298 0.8697 0.2595  8 Cu 2.53-2.68, 2 Ir 2.67, 2 Zn 2.75
Cu 0.7471 0.7532 0.4941  4 Zn 2.53-2.68, 8 Cu 2.61-2.64
Cu 0.2529 0.2468 0.5059  4 Zn 2.53-2.68, 8 Cu 2.61-2.64
Zn 0.8702 0.1303 0.7405  8 Cu 2.53-2.68, 2 Ir 2.67, 2 Zn 2.75
Cu 0.3714 0.6293 0.7427  4 Cu 2.61-2.64, 6 Zn 2.61-2.66, 2 Ir 2.74
Cu 0.6286 0.3707 0.2573  4 Cu 2.61-2.64, 6 Zn 2.61-2.66, 2 Ir 2.74
Zn 0.0000 0.5000 0.0000  4 Ir 2.61, 4 Cu 2.66, 4 Zn 2.75

Properties
M_tot: 0.000 μB/cell
DFT formation energy: -0.919 eV per formula unit
ρ: 10.26 g/cm³
space-group type: C2/m

Entry 9:
Below is a relaxed PmNbFeSi2 crystal, with properties calculated at the PBE level.

abc: 4.0173 4.0173 6.2747
angles: 108.67 108.67 90.00
Last column: nearest neighbours and their distance in Å.
Sites, in units of the cell vectors:
Nb 0.2500 0.7500 0.5000  4 Si 2.54, 4 Fe 2.84
Si 0.3891 0.3891 0.7782  1 Si 2.48, 2 Fe 2.54, 2 Nb 2.54
Pm 0.0000 0.0000 0.0000  8 Si 3.10, 4 Nb 3.44, 4 Fe 3.44
Fe 0.7500 0.2500 0.5000  4 Si 2.54, 4 Nb 2.84
Si 0.6109 0.6109 0.2218  1 Si 2.48, 2 Nb 2.54, 2 Fe 2.54

Properties
E_form (uncorrected): -545 meV per atom
M_tot: 1.992 μB/cell
ρ: 6.44 g/cm³
space-group type: I-4m2

Entry 10:
Below is a relaxed La6Ru2AuCl3 crystal, with properties calculated at the PBE level.

abc: 7.2867 7.2867 8.0515
angles: 98.58 98.58 120.04
Last column: nearest neighbours and their distance in Å.
Sites, in units of the cell vectors:
Ru 0.3338 0.6662 0.0000  6 La 2.83-2.84
La 0.2885 0.2885 0.7930  2 Ru 2.83, 1 Au 3.05
La 0.0687 0.4249 0.2067  2 Ru 2.83-2.84, 1 Au 3.04, 1 Cl 3.15
Cl 0.8279 0.1721 0.5000  6 La 3.15-3.43
Ru 0.6662 0.3338 0.0000  6 La 2.83-2.84
La 0.5751 0.9313 0.7933  2 Ru 2.83-2.84, 1 Au 3.04, 1 Cl 3.15
Cl 0.5000 0.5000 0.5000  6 La 3.18-3.38
La 0.7115 0.7115 0.2070  2 Ru 2.83, 1 Au 3.05
La 0.9313 0.5751 0.7933  2 Ru 2.83-2.84, 1 Au 3.04, 1 Cl 3.15
Au 0.0000 0.0000 0.0000  6 La 3.04-3.05
Cl 0.1721 0.8279 0.5000  6 La 3.15-3.43
La 0.4249 0.0687 0.2067  2 Ru 2.83-2.84, 1 Au 3.04, 1 Cl 3.15

Properties
E_form (uncorrected): -1123 meV per atom
M_tot: 0.000 μB/cell
ρ: 6.29 g/cm³
space-group type: C2/m

Entry 11:
Below is a relaxed Ho4Tl2Pt crystal, with properties calculated at the PBE level.

abc: 3.7349 6.6389 8.9078
angles: 111.05 90.00 90.00
Last column: nearest neighbours and their distance in Å.
Sites, in units of the cell vectors:
Ho 0.5000 0.2492 0.9218  2 Pt 2.79
Ho 0.0000 0.4592 0.3211  1 Pt 2.73
Pt 0.0000 0.0714 0.0715  6 Ho 2.73-2.79
Tl 0.5000 0.3075 0.5710  2 Tl 3.14-3.50, 6 Ho 3.27-3.33
Ho 0.5000 0.8936 0.2211  2 Pt 2.79
Ho 0.0000 0.6836 0.8218  1 Pt 2.73
Tl 0.5000 0.8353 0.5719  2 Tl 3.14-3.50, 6 Ho 3.27-3.33

Properties
M_tot: 0.000 μB/cell
DFT formation energy: -2.969 eV per formula unit
ρ: 10.18 g/cm³
space-group type: P2/m

Entry 12:
Below is a relaxed HoSi2NiPt2 crystal, with properties calculated at the PBE level.

abc: 4.1316 4.1316 6.6311
angles: 90.00 90.00 120.00
Last column: nearest neighbours and their distance in Å.
Sites, in units of the cell vectors:
Pt 0.3333 0.6667 0.7079  4 Si 2.39-2.56
Pt 0.6667 0.3333 0.2921  4 Si 2.39-2.56
Ni 0.0000 0.0000 0.5000  6 Si 2.66, 6 Pt 2.75
Si 0.3333 0.6667 0.3213  4 Pt 2.39-2.56, 3 Ni 2.66
Si 0.6667 0.3333 0.6787  4 Pt 2.39-2.56, 3 Ni 2.66
Ho 0.0000 0.0000 0.0000  6 Pt 3.07, 6 Si 3.20, 2 Ni 3.32

Properties
E_form (uncorrected): -939 meV per atom
M_tot: 0.000 μB/cell
ρ: 11.35 g/cm³
space-group type: P-3m1

- Which formula does entry 5 have?
  HgTe2Au

- Which formula does entry 7 have?
  Tb7Er12Mg